Record 1
First-principles (PBE) data for a relaxed structure of Tc2SbAu, as listed in Alexandria via LeMat-Bulk.

```
4
Lattice="1.606 -2.491 0.000 1.606 2.491 0.000 0.000 0.000 8.812" Properties=species:S:1:pos:R:3 pbc="T T T"
Tc 0.000 0.000 2.105
Tc 0.000 0.000 6.707
Sb 1.606 0.000 0.000
Au 1.606 0.000 4.406
```

formation energy without anion corrections	0.70	eV per atom

Record 2
First-principles (PBE) data for a relaxed structure of SrTa3, as listed in Alexandria via LeMat-Bulk.

```
4
Lattice="5.106 2.948 0.933 -5.106 2.948 0.933 0.000 -5.896 0.933" Properties=species:S:1:pos:R:3 pbc="T T T"
Sr 0.000 0.000 0.000
Ta -2.553 -1.474 0.933
Ta -2.553 1.474 1.866
Ta 0.000 2.948 0.933
```

VASP energy	-8.37	eV/atom

Record 3
First-principles (PBE) data for a relaxed structure of CdAg2Sb, as listed in Alexandria via LeMat-Bulk.

```
4
Lattice="3.235 0.000 0.000 0.000 4.161 0.000 -0.064 0.000 6.288" Properties=species:S:1:pos:R:3 pbc="T T T"
Cd 0.000 0.000 0.000
Ag 1.563 2.081 4.811
Ag 1.607 2.081 1.476
Sb -0.032 0.000 3.144
```

formation energy without anion corrections	0.06	eV per atom
energy relative to the lowest polymorph listed for this composition	1.7	kJ/mol of atoms

Record 4
First-principles (PBE) data for a relaxed structure of ReSiIr2, as listed in Alexandria via LeMat-Bulk.

```
4
Lattice="-1.445 2.188 4.434 1.445 -2.188 4.434 1.445 2.188 -4.434" Properties=species:S:1:pos:R:3 pbc="T T T"
Re 0.000 0.000 0.000
Si 0.000 0.000 4.434
Ir 1.445 0.000 2.478
Ir 0.000 2.188 1.956
```

formation energy without anion corrections	-0.16	eV per atom